! In12Ga5Si3 PBE relaxed; values from VASP
&SYSTEM
  ibrav = 0, nat = 80, ntyp = 3
/
ATOMIC_SPECIES
In 114.82 In.upf
Ga 69.72 Ga.upf
Si 28.09 Si.upf
CELL_PARAMETERS angstrom
-8.169 8.169 8.169
8.169 -8.169 8.169
8.169 8.169 -8.169
ATOMIC_POSITIONS angstrom
In 2.449 -0.360 1.327
In 9.804 5.411 -4.445
In 7.809 -1.327 2.449
In 12.614 -1.635 2.758
In 10.618 0.360 1.327
In 9.804 -2.758 4.445
In 1.327 2.449 -0.360
In 10.927 3.724 -1.635
In 5.411 4.445 -1.635
In 6.843 2.449 0.360
In -0.360 1.327 2.449
In 4.445 -1.635 5.411
In 7.809 6.843 -2.449
In 4.445 1.635 2.758
In 6.843 -2.449 7.809
In 5.411 -4.445 9.804
In 2.758 4.445 1.635
In 9.496 5.720 0.360
In 2.449 7.809 -1.327
In 9.804 2.758 3.724
In 4.445 9.804 -2.758
In 7.809 1.327 5.720
In 1.635 2.758 4.445
In 2.449 0.360 6.843
In 5.720 7.809 1.327
In 6.534 5.411 3.724
In 0.360 6.843 2.449
In 3.724 -1.635 10.927
In -1.635 5.411 4.445
In 5.720 0.360 9.496
In -1.327 2.449 7.809
In 5.411 3.724 6.534
In 2.758 12.614 -1.635
In 1.327 10.618 0.360
In 3.724 6.534 5.411
In 0.360 1.327 10.618
In 3.724 9.804 2.758
In 8.530 6.843 5.720
In 1.327 5.720 7.809
In 2.758 3.724 9.804
In -2.758 4.445 9.804
In 6.843 5.720 8.530
In -1.635 10.927 3.724
In -2.449 7.809 6.843
In -4.445 9.804 5.411
In 0.360 9.496 5.720
In -1.635 2.758 12.614
In 5.720 8.530 6.843
Ga 0.000 0.000 0.000
Ga 4.085 4.085 -4.085
Ga 4.085 -4.085 4.085
Ga 8.169 0.000 0.000
Ga 12.254 2.042 0.000
Ga 8.169 -4.085 6.127
Ga 6.127 8.169 -4.085
Ga 6.127 0.000 4.085
Ga 4.085 6.127 0.000
Ga 8.169 4.085 2.042
Ga -4.085 4.085 4.085
Ga 0.000 8.169 0.000
Ga 0.000 0.000 8.169
Ga 4.085 4.085 4.085
Ga 0.000 4.085 6.127
Ga 4.085 2.042 8.169
Ga 2.042 8.169 4.085
Ga 2.042 0.000 12.254
Ga 0.000 12.254 2.042
Ga -4.085 6.127 8.169
Si 4.085 2.042 0.000
Si 8.169 4.085 -2.042
Si 2.042 0.000 4.085
Si 10.211 0.000 4.085
Si 0.000 4.085 2.042
Si 4.085 -2.042 8.169
Si 4.085 10.211 0.000
Si 8.169 4.085 6.127
Si -2.042 8.169 4.085
Si 6.127 8.169 4.085
Si 0.000 4.085 10.211
Si 4.085 6.127 8.169
! Space-group type ... Ia-3d, No. 230
! DOS(E_F) ... 29.9 states/eV/cell
! Volume ... 27.3 Å³/atom
! Magnetic moment ... 0.00 μB per formula unit
! Electronic total energy ... -2.983 eV/atom

---

! Mn2InGa2 PBE relaxed; values from VASP
&SYSTEM
  ibrav = 0, nat = 5, ntyp = 3
/
ATOMIC_SPECIES
Mn 54.94 Mn.upf
In 114.82 In.upf
Ga 69.72 Ga.upf
CELL_PARAMETERS angstrom
-2.002 2.002 5.562
2.002 -2.002 5.562
2.002 2.002 -5.562
ATOMIC_POSITIONS angstrom
Mn 2.002 0.000 2.781
Mn 0.000 2.002 2.781
In 0.000 0.000 0.000
Ga 0.000 0.000 4.318
Ga 0.000 0.000 6.806
! Space-group type ... I4/mmm, No. 139
! DOS(E_F) ... 3.4 states/eV/cell
! Volume ... 17.8 Å³/atom
! Excess energy over the best structure of this formula in the dataset ... 0.1397 eV per atom
! Formation energy ... 0.22 eV/atom
! Magnetic moment ... 6.11 μB per formula unit
! Electronic total energy ... -5.206 eV/atom

---

! ZrOs3Au PBE relaxed; values from VASP
&SYSTEM
  ibrav = 0, nat = 5, ntyp = 3
/
ATOMIC_SPECIES
Zr 91.22 Zr.upf
Os 190.23 Os.upf
Au 196.97 Au.upf
CELL_PARAMETERS angstrom
4.818 0.000 0.000
0.000 4.818 0.000
0.000 0.000 4.818
ATOMIC_POSITIONS angstrom
Zr 0.000 0.000 0.000
Os 0.000 0.000 2.409
Os 0.000 2.409 0.000
Os 2.409 0.000 0.000
Au 2.409 2.409 2.409
! Space-group type ... Pm-3m, No. 221
! DOS(E_F) ... 6.5 states/eV/cell
! Volume ... 22.4 Å³/atom
! Excess energy over the best structure of this formula in the dataset ... 0.1326 eV per atom
! Formation energy ... 2.51 eV/atom
! Magnetic moment ... 3.53 μB per formula unit
! Electronic total energy ... -6.595 eV/atom

---

! GePb2Au3 PBE relaxed; values from VASP
&SYSTEM
  ibrav = 0, nat = 12, ntyp = 3
/
ATOMIC_SPECIES
Ge 72.64 Ge.upf
Pb 207.20 Pb.upf
Au 196.97 Au.upf
CELL_PARAMETERS angstrom
6.575 -3.847 0.000
6.575 3.847 0.000
0.000 0.000 5.724
ATOMIC_POSITIONS angstrom
Ge 6.575 2.314 4.293
Ge 6.575 -2.314 1.431
Pb 4.164 1.221 1.431
Pb 4.164 -1.221 4.293
Pb 8.987 1.221 1.431
Pb 8.987 -1.221 4.293
Au 1.716 0.000 0.000
Au 1.716 0.000 2.862
Au 6.575 0.000 0.000
Au 6.575 0.000 2.862
Au 11.435 0.000 0.000
Au 11.435 0.000 2.862
! Space-group type ... Cmcm, No. 63
! DOS(E_F) ... 4.1 states/eV/cell
! Volume ... 24.1 Å³/atom
! Formation energy ... -0.05 eV/atom
! Magnetic moment ... 0.00 μB per formula unit
! Electronic total energy ... -3.693 eV/atom

---

What is the volume in the third record?
22.4 Å³/atom